1.
A relaxed CsK2Mn3P4ClO14 crystal, computed with GGA-PBEsol.

The structure in POSCAR format:
```
CsK2Mn3P4ClO14
1.0
5.352 0.000 0.000
0.000 7.601 0.007
0.000 -3.559 18.530
O Mn P K Cl Cs
28 6 8 4 2 2
direct
0.125 0.409 0.435
0.585 0.598 0.100
0.719 0.594 0.846
0.034 0.202 0.059
0.125 0.591 0.065
0.415 0.598 0.600
0.698 0.072 0.647
0.504 0.788 0.452
0.875 0.591 0.565
0.281 0.406 0.154
0.698 0.928 0.853
0.743 0.733 0.694
0.302 0.072 0.147
0.415 0.402 0.900
0.585 0.402 0.400
0.875 0.409 0.935
0.034 0.798 0.441
0.743 0.267 0.806
0.257 0.267 0.306
0.496 0.788 0.952
0.719 0.406 0.654
0.496 0.212 0.548
0.966 0.798 0.941
0.281 0.594 0.346
0.504 0.212 0.048
0.257 0.733 0.194
0.302 0.928 0.353
0.966 0.202 0.559
0.709 0.000 0.750
0.291 0.000 0.250
0.212 0.392 0.540
0.212 0.608 0.960
0.788 0.392 0.040
0.788 0.608 0.460
0.717 0.789 0.901
0.685 0.404 0.873
0.717 0.211 0.599
0.315 0.404 0.373
0.283 0.789 0.401
0.315 0.596 0.127
0.685 0.596 0.627
0.283 0.211 0.099
0.780 0.085 0.415
0.220 0.085 0.915
0.220 0.915 0.585
0.780 0.915 0.085
0.221 0.000 0.750
0.779 0.000 0.250
0.199 0.500 0.750
0.801 0.500 0.250
```

Properties
As for the calculated volume: 15.08 Å³ per atom. The space group is P2/c. As for the formation energy (no corrections): -2.065 eV/atom. The value obtained for the density of states at the Fermi level is 0.00 states/eV per cell.

2.
A relaxed Cs2KMoCl6 crystal, computed with GGA-PBEsol.

The structure in POSCAR format:
```
Cs2KMoCl6
1.0
-0.545 -4.966 -5.675
5.348 -5.260 -0.948
-1.535 -7.258 1.462
K Cs Mo Cl
1 2 1 6
direct
0.500 0.500 0.500
0.250 0.250 0.250
0.750 0.750 0.750
0.000 0.000 0.000
0.774 0.226 0.226
0.226 0.774 0.226
0.226 0.226 0.774
0.774 0.774 0.226
0.774 0.226 0.774
0.226 0.774 0.774
```

Properties
As for the calculated volume: 30.57 Å³ per atom. The space group is Fm-3m. As for the formation energy (no corrections): -1.560 eV/atom.

3.
A relaxed CsKP2Cl crystal, computed with GGA-PBEsol.

The structure in POSCAR format:
```
CsKP2Cl
1.0
-5.557 2.161 2.604
-2.941 -5.561 -1.661
1.628 -2.526 5.572
P Cl K Cs
2 1 1 1
direct
0.000 0.500 0.000
0.500 0.000 0.000
0.000 0.000 0.500
0.500 0.500 0.500
0.000 0.000 0.000
```

Properties
As for the calculated volume: 53.60 Å³ per atom. The space group is P4/mmm. As for the formation energy (no corrections): 0.580 eV/atom. The value obtained for the density of states at the Fermi level is 2.66 states/eV per cell.

4.
A relaxed Cs2KPrCl6 crystal, computed with GGA-PBEsol.

The structure in POSCAR format:
```
Cs2KPrCl6
1.0
-1.568 6.660 -4.146
-5.723 5.006 2.488
1.968 7.145 3.013
Cl Pr Cs K
6 1 2 1
direct
0.240 0.240 0.760
0.240 0.760 0.760
0.760 0.240 0.240
0.760 0.760 0.240
0.760 0.240 0.760
0.240 0.760 0.240
0.000 0.000 0.000
0.750 0.750 0.750
0.250 0.250 0.250
0.500 0.500 0.500
```

Properties
As for the calculated volume: 36.20 Å³ per atom. The space group is Fm-3m. As for the formation energy (no corrections): -2.101 eV/atom. The value obtained for the density of states at the Fermi level is 0.00 states/eV per cell.